(1)
The following is a PBE calculation of a relaxed Sr2RePb crystal, from the Alexandria database.

Summary:
Its theoretical density is 7.93 g/cm3. The calculated formation energy comes out at 550 meV/atom.

Cell lengths 6.3225, 6.3225, 5.5409 Å; angles 113.04, 113.04, 36.15 degrees
With the nearest neighbours (Å) after each atom.
Positions (direct):
1 Sr 0.0000 0.0000 0.0000  3 Re 3.40-3.63, 4 Pb 3.46-3.52, 2 Sr 3.54-3.55
2 Sr 0.2013 0.2013 0.6789  4 Re 3.41-3.48, 3 Pb 3.51-3.60, 2 Sr 3.54-3.55
3 Re 0.7540 0.7540 0.2184  2 Pb 2.73
4 Pb 0.4256 0.4256 0.4273  2 Re 2.73



(2)
The following is a PBE calculation of a relaxed Y4BiTe2 crystal, from the Alexandria database.

Summary:
Its theoretical density is 6.28 g/cm3. The raw total energy comes out at -6.10 eV/atom.

Cell lengths 7.2755, 7.2755, 14.6503 Å; angles 90.00, 90.00, 146.02 degrees
With the nearest neighbours (Å) after each atom.
Positions (direct):
1 Y 0.0000 0.0000 0.0000  4 Te 3.03
2 Y 0.0000 0.0000 0.5000  4 Te 3.03
3 Y 0.2817 0.7183 0.6308  3 Te 2.98-3.06, 2 Bi 3.25
4 Y 0.2817 0.7183 0.8692  3 Te 2.98-3.06, 2 Bi 3.25
5 Y 0.4277 0.5723 0.2500  2 Te 2.96, 2 Bi 3.14
6 Y 0.5723 0.4277 0.7500  2 Te 2.96, 2 Bi 3.14
7 Y 0.7183 0.2817 0.1308  3 Te 2.98-3.06, 2 Bi 3.25
8 Y 0.7183 0.2817 0.3692  3 Te 2.98-3.06, 2 Bi 3.25
9 Bi 0.0937 0.9063 0.2500  6 Y 3.14-3.25
10 Bi 0.9063 0.0937 0.7500  6 Y 3.14-3.25
11 Te 0.3578 0.6422 0.0595  6 Y 2.96-3.06
12 Te 0.3578 0.6422 0.4405  6 Y 2.96-3.06
13 Te 0.6422 0.3578 0.5595  6 Y 2.96-3.06
14 Te 0.6422 0.3578 0.9405  6 Y 2.96-3.06



(3)
The following is a PBE calculation of a relaxed PrNpIr2 crystal, from the Alexandria database.

Summary:
Its theoretical density is 13.81 g/cm3. The calculated formation energy comes out at -452 meV/atom.

Cell lengths 5.8492, 5.8492, 5.8492 Å; angles 45.18, 45.18, 45.18 degrees
With the nearest neighbours (Å) after each atom.
Positions (direct):
1 Pr 0.0000 0.0000 0.0000  8 Ir 3.19-3.38
2 Np 0.5000 0.5000 0.5000  6 Ir 2.70
3 Ir 0.2151 0.2151 0.2151  3 Np 2.70, 3 Ir 3.01
4 Ir 0.7849 0.7849 0.7849  3 Np 2.70, 3 Ir 3.01